The following is a DFT calculation (PBE-GGA) of a relaxed structure of PbNO2F.

Output
mass density	7.5	g cm⁻³
total DFT energy (no corrections)	-22.348	eV per cell
formation energy from raw total energies	295	meV/atom

a = 3.7580 Å, b = 3.7580 Å, c = 4.2843 Å
α = 90.00°, β = 90.00°, γ = 90.00°
Last column: nearest neighbours and their distance in Å.
Element x y z (fractional)
Pb  0.5000  0.5000  0.5000  4 F 2.66, 8 O 2.85
N  0.0000  0.0000  0.0000  4 O 1.88
O  0.0000  0.5000  0.0000  2 N 1.88
O  0.5000  0.0000  0.0000  2 N 1.88
F  0.0000  0.0000  0.5000  2 N 2.14

=====

The following is a DFT calculation (PBE-GGA) of a relaxed structure of PbN2OF.

Output
mass density	5.7	g cm⁻³
total DFT energy (no corrections)	-18.702	eV per cell
formation energy from raw total energies	1697	meV/atom

a = 3.7732 Å, b = 3.7732 Å, c = 5.5764 Å
α = 90.00°, β = 90.00°, γ = 90.00°
Last column: nearest neighbours and their distance in Å.
Element x y z (fractional)
Pb  0.5000  0.5000  0.5000  4 O 2.67
N  0.0000  0.5000  0.0000  2 F 1.89
N  0.5000  0.0000  0.0000  2 F 1.89
O  0.0000  0.0000  0.5000  4 Pb 2.67, 2 F 2.79
F  0.0000  0.0000  0.0000  4 N 1.89